TlCrBrF2 after structural relaxation, computed with GGA+U.

Calculated values
calculated density: 5.81 g/cm³
final energy: -4.78 eV/atom
magnetic moment: 4.00 Bohr magnetons per cell

Cell and atoms, written as POSCAR:
```
TlCrBrF2
1.0
4.2950 0.0000 0.0000
0.0000 4.2950 0.0000
0.0000 0.0000 5.7989
Cr Tl Br F
1 1 1 2
direct
0.0000 0.0000 0.0000
0.5000 0.5000 0.5000
0.0000 0.0000 0.5000
0.0000 0.5000 0.0000
0.5000 0.0000 0.0000
```